Entry 1:
Computed, not measured: a relaxed structure of CoPt3 at the PBEsol level of DFT.

```
data_CoPt3
_chemical_formula_sum 'Co1 Pt3'
_cell_length_a 2.714
_cell_length_b 4.451
_cell_length_c 4.682
_cell_angle_alpha 90.00
_cell_angle_beta 90.00
_cell_angle_gamma 90.00
_symmetry_space_group_name_H-M 'P m m 2'
_symmetry_Int_Tables_number 25
_symmetry_space_group_name_Hall 'P 2 -2'
loop_
_atom_site_label
_atom_site_fract_x
_atom_site_fract_y
_atom_site_fract_z
Co1 0.000 0.000 0.000
Pt1 0.000 0.500 0.326
Pt2 0.500 0.000 0.499
Pt3 0.500 0.500 0.835
```

Summary:
**Final energy**: -7.14 eV/atom
**Fermi-level density of states**: 5.0 states/eV/cell
**Total magnetization**: 3.12 μB/cell
**DFT formation energy**: 1.7 kJ per mole of atoms


Entry 2:
Computed, not measured: a relaxed structure of CoPt3 at the PBEsol level of DFT.

```
data_CoPt3
_chemical_formula_sum 'Co1 Pt3'
_cell_length_a 2.7082
_cell_length_b 2.7082
_cell_length_c 8.8922
_cell_angle_alpha 90.00
_cell_angle_beta 90.00
_cell_angle_gamma 120.00
_symmetry_space_group_name_H-M 'P -6 m 2'
_symmetry_Int_Tables_number 187
_symmetry_space_group_name_Hall 'P -6 2'
loop_
_atom_site_label
_atom_site_fract_x
_atom_site_fract_y
_atom_site_fract_z
Co1 0.0000 0.0000 0.0000
Pt1 0.0000 0.0000 0.5000
Pt2 0.6667 0.3333 0.2308
```

Summary:
**Final energy**: -7.16 eV/atom
**Fermi-level density of states**: 4.7 states/eV/cell
**Total magnetization**: 3.00 μB/cell
**DFT formation energy**: -0.7 kJ per mole of atoms